# NpSiO6, relaxed, DFT PBE-GGA
data_NpSiO6
_chemical_formula_sum 'Np2 Si2 O12'
_cell_length_a 4.804
_cell_length_b 9.636
_cell_length_c 4.794
_cell_angle_alpha 90.00
_cell_angle_beta 104.51
_cell_angle_gamma 90.00
_space_group_name_H-M_alt 'C 1 2/m 1'
_space_group_IT_number 12
_space_group_name_Hall '-C 2y'
loop_
_atom_site_label
_atom_site_type_symbol
_atom_site_fract_x
_atom_site_fract_y
_atom_site_fract_z
Np1 Np 0.000 0.000 0.000
Si1 Si 0.000 0.500 0.500
O1 O 0.225 0.374 0.728
O2 O 0.234 0.500 0.269
# E_tot in eV per atom: -8.049
# Volume in Å³ per atom: 13.43

***

# NpSiO2, relaxed, DFT PBE-GGA
data_NpSiO2
_chemical_formula_sum 'Np3 Si3 O6'
_cell_length_a 2.7081
_cell_length_b 2.7081
_cell_length_c 30.4645
_cell_angle_alpha 90.00
_cell_angle_beta 90.00
_cell_angle_gamma 120.00
_space_group_name_H-M_alt 'R -3 m'
_space_group_IT_number 166
_space_group_name_Hall '-R 3 2"'
loop_
_atom_site_label
_atom_site_type_symbol
_atom_site_fract_x
_atom_site_fract_y
_atom_site_fract_z
Np1 Np 0.0000 0.0000 0.0000
Si1 Si 0.0000 0.0000 0.5000
O1 O 0.0000 0.0000 0.1367
# E_tot in eV per atom: -8.576
# Volume in Å³ per atom: 16.12

***

Number 1: ΔE_f (raw) -2.034 eV/atom. Number 2: ΔE_f (raw) -1.506 eV/atom.